[1]
This record from Alexandria via LeMat-Bulk describes a relaxed KMgTa crystal. The functional is GGA-PBE.

Computed properties:
ΔE_f = 0.772 eV/atom
V = 74 Å³ per cell
E_tot = -0.150 hartree per atom
SG = P3m1 (156)
total magnetization = 0.00 μB/atom
energy above the lowest structure with this stoichiometry = 391 meV per atom

Cell: 3.054 3.054 9.114 Å, 90.00 90.00 120.00°
Sites, in units of the cell vectors:
Ta 0.333 0.667 0.639
Mg 0.667 0.333 0.365
K 0.000 0.000 0.996

=====

[2]
This record from Alexandria via LeMat-Bulk describes a relaxed KMgTa2 crystal. The functional is GGA-PBE.

Computed properties:
ΔE_f = 0.920 eV/atom
V = 91 Å³ per cell
E_tot = -0.209 hartree per atom
SG = P4/mmm (123)
total magnetization = 0.00 μB/atom

Cell: 2.890 2.890 10.901 Å, 90.00 90.00 90.00°
Sites, in units of the cell vectors:
Mg 0.500 0.500 0.750
Ta 0.000 0.000 0.551
Ta 0.000 0.000 0.949
K 0.500 0.500 0.250

=====

[3]
This record from Alexandria via LeMat-Bulk describes a relaxed KMgTa crystal. The functional is GGA-PBE.

Computed properties:
ΔE_f = 0.669 eV/atom
V = 177 Å³ per cell
E_tot = -0.154 hartree per atom
SG = P1 (1)
total magnetization = 0.00 μB/atom
energy above the lowest structure with this stoichiometry = 288 meV per atom

Cell: 3.047 9.612 6.807 Å, 109.41 103.00 99.26°
Sites, in units of the cell vectors:
Mg 0.937 0.263 0.248
Mg 0.128 0.074 0.821
Ta 0.405 0.435 0.009
Ta 0.658 0.286 0.666
K 0.237 0.888 0.248
K 0.295 0.640 0.626

=====

[4]
This record from Alexandria via LeMat-Bulk describes a relaxed K2MgTa crystal. The functional is GGA-PBE.

Computed properties:
ΔE_f = 1.275 eV/atom
V = 129 Å³ per cell
E_tot = -0.097 hartree per atom
SG = I4/mmm (139)
total magnetization = 0.85 μB/atom

Cell: 6.885 6.885 6.885 Å, 140.95 140.95 56.42°
Site moments in Bohr magnetons follow the coordinates.
Sites, in units of the cell vectors:
Ta 0.750 0.250 0.500  1.91
K 0.000 0.000 0.000  0.02
Mg 0.250 0.750 0.500  0.01
K 0.500 0.500 0.000  0.02

=====

[5]
This record from Alexandria via LeMat-Bulk describes a relaxed KMg2Ta crystal. The functional is GGA-PBE.

Computed properties:
ΔE_f = 0.590 eV/atom
V = 107 Å³ per cell
E_tot = -0.127 hartree per atom
SG = P2/m (10)
total magnetization = 0.00 μB/atom
energy above the lowest structure with this stoichiometry = 142 meV per atom

Cell: 4.319 2.985 8.847 Å, 70.40 90.00 90.00°
Sites, in units of the cell vectors:
Mg 0.000 0.928 0.070
Mg 0.000 0.572 0.430
Ta 0.500 0.250 0.250
K 0.500 0.750 0.750

=====

[6]
This record from Alexandria via LeMat-Bulk describes a relaxed KMgTa crystal. The functional is GGA-PBE.

Computed properties:
ΔE_f = 0.749 eV/atom
V = 226 Å³ per cell
E_tot = -0.151 hartree per atom
SG = Cm (8)
total magnetization = 0.20 μB/atom
energy above the lowest structure with this stoichiometry = 368 meV per atom

Cell: 4.656 12.047 4.656 Å, 90.16 60.00 89.99°
Site moments in Bohr magnetons follow the coordinates.
Sites, in units of the cell vectors:
Mg 0.742 0.845 0.279  0.01
K 0.406 0.293 0.951  0.01
Ta 0.074 0.067 0.615  0.29
Ta 0.741 0.076 0.282  0.19
K 0.077 0.624 0.611  0.01
Mg 0.408 0.973 0.948  0.00

=====

[7]
This record from Alexandria via LeMat-Bulk describes a relaxed KMgTa2 crystal. The functional is GGA-PBE.

Computed properties:
ΔE_f = 1.020 eV/atom
V = 106 Å³ per cell
E_tot = -0.205 hartree per atom
SG = Pmmm (47)
total magnetization = 0.00 μB/atom

Cell: 2.859 4.595 8.062 Å, 90.00 90.00 90.00°
Sites, in units of the cell vectors:
Mg 0.500 0.500 0.750
Ta 0.000 0.000 0.909
K 0.500 0.500 0.250
Ta 0.000 0.000 0.591

=====

[8]
This record from Alexandria via LeMat-Bulk describes a relaxed KMg2Ta crystal. The functional is GGA-PBE.

Computed properties:
ΔE_f = 1.036 eV/atom
V = 101 Å³ per cell
E_tot = -0.110 hartree per atom
SG = Fm-3m (225)
total magnetization = 0.26 μB/atom
energy above the lowest structure with this stoichiometry = 588 meV per atom

Cell: 5.235 5.235 5.235 Å, 60.00 60.00 60.00°
Site moments in Bohr magnetons follow the coordinates.
Sites, in units of the cell vectors:
Mg 0.750 0.750 0.750  -0.01
Mg 0.250 0.250 0.250  -0.01
Ta 0.500 0.500 0.500  0.62
K 0.000 0.000 0.000  0.02

=====

[9]
This record from Alexandria via LeMat-Bulk describes a relaxed KMgTa crystal. The functional is GGA-PBE.

Computed properties:
ΔE_f = 0.817 eV/atom
V = 78 Å³ per cell
E_tot = -0.148 hartree per atom
SG = I4mm (107)
total magnetization = 0.00 μB/atom
energy above the lowest structure with this stoichiometry = 437 meV per atom

Cell: 9.106 9.106 9.106 Å, 161.21 161.21 26.69°
Sites, in units of the cell vectors:
K 0.008 0.008 0.000
Ta 0.685 0.685 0.000
Mg 0.307 0.307 0.000

=====

[10]
This record from Alexandria via LeMat-Bulk describes a relaxed K2MgTa crystal. The functional is GGA-PBE.

Computed properties:
ΔE_f = 0.953 eV/atom
V = 113 Å³ per cell
E_tot = -0.109 hartree per atom
SG = Cmmm (65)
total magnetization = 0.00 μB/atom

Cell: 3.115 3.115 13.207 Å, 90.00 90.00 117.82°
Sites, in units of the cell vectors:
Ta 0.500 0.500 0.750
K 0.000 0.000 0.993
K 0.000 0.000 0.507
Mg 0.500 0.500 0.250

=====

[11]
This record from Alexandria via LeMat-Bulk describes a relaxed KMg2Ta crystal. The functional is GGA-PBE.

Computed properties:
ΔE_f = 0.700 eV/atom
V = 110 Å³ per cell
E_tot = -0.123 hartree per atom
SG = C2/m (12)
total magnetization = 0.03 μB/atom
energy above the lowest structure with this stoichiometry = 251 meV per atom

Cell: 5.260 5.260 7.650 Å, 87.36 87.36 31.31°
Site moments in Bohr magnetons follow the coordinates.
Sites, in units of the cell vectors:
Ta 0.750 0.750 0.750  0.09
Mg 0.490 0.490 0.576  0.00
Mg 0.010 0.010 0.924  0.00
K 0.250 0.250 0.250  0.00

=====

[12]
This record from Alexandria via LeMat-Bulk describes a relaxed KMgTa2 crystal. The functional is GGA-PBE.

Computed properties:
ΔE_f = 1.389 eV/atom
V = 187 Å³ per cell
E_tot = -0.191 hartree per atom
SG = I-42d (122)
total magnetization = 0.00 μB/atom

Cell: 4.035 4.035 11.827 Å, 80.18 80.18 90.00°
Sites, in units of the cell vectors:
K 0.750 0.250 0.500
Mg 0.250 0.750 0.500
Ta 0.375 0.393 0.750
Ta 0.607 0.125 0.250
Ta 0.143 0.625 0.250
K 0.000 0.000 0.000
Mg 0.500 0.500 0.000
Ta 0.875 0.857 0.750

=====

[13]
This record from Alexandria via LeMat-Bulk describes a relaxed K2MgTa crystal. The functional is GGA-PBE.

Computed properties:
ΔE_f = 1.054 eV/atom
V = 138 Å³ per cell
E_tot = -0.105 hartree per atom
SG = Imm2 (44)
total magnetization = 0.29 μB/atom

Cell: 7.781 7.781 7.781 Å, 158.03 128.37 56.77°
Site moments in Bohr magnetons follow the coordinates.
Sites, in units of the cell vectors:
K 0.267 0.767 0.500  0.02
Mg 0.538 0.538 0.000  0.00
K 0.978 0.978 0.000  0.00
Ta 0.717 0.217 0.500  0.61

=====

[14]
This record from Alexandria via LeMat-Bulk describes a relaxed KMgTa2 crystal. The functional is GGA-PBE.

Computed properties:
ΔE_f = 1.184 eV/atom
V = 90 Å³ per cell
E_tot = -0.199 hartree per atom
SG = Cmmm (65)
total magnetization = 0.00 μB/atom

Cell: 6.335 6.335 2.767 Å, 90.00 90.00 125.56°
Sites, in units of the cell vectors:
K 0.500 0.000 0.500
Mg 0.000 0.500 0.500
Ta 0.500 0.500 0.000
Ta 0.000 0.000 0.000

=====

[15]
This record from Alexandria via LeMat-Bulk describes a relaxed KMgTa crystal. The functional is GGA-PBE.

Computed properties:
ΔE_f = 1.003 eV/atom
V = 87 Å³ per cell
E_tot = -0.141 hartree per atom
SG = Imm2 (44)
total magnetization = 0.11 μB/atom
energy above the lowest structure with this stoichiometry = 623 meV per atom

Cell: 7.090 7.090 7.090 Å, 157.30 140.69 45.87°
Site moments in Bohr magnetons follow the coordinates.
Sites, in units of the cell vectors:
K 0.998 0.998 0.000  0.01
Mg 0.293 0.293 0.000  0.00
Ta 0.708 0.708 0.000  0.13